DFT (PBE-GGA) results for a relaxed structure of Ho2AgPd.

The value obtained for the final energy is -4.91 eV/atom. As for the space-group type: P4/mmm, No. 123. As for the crystal system: tetragonal. As for the density: 10.0 g/cm³. The value obtained for the density of states at the Fermi level is 3.39 states/eV/cell.

Lattice parameters (Å, degrees): 3.546 3.546 7.172 90.00 90.00 90.00
Positions (direct):
Pd 0.500 0.500 0.000
Ho 0.000 0.000 0.761
Ho 0.000 0.000 0.239
Ag 0.500 0.500 0.500

=====

DFT (PBE-GGA) results for a relaxed structure of SrSi2Br.

The value obtained for the final energy is -3.33 eV/atom. As for the space-group type: Cmmm, No. 65. As for the crystal system: orthorhombic. As for the density: 3.7 g/cm³. The raw formation energy is 217.6 meV per atom. The value obtained for the energy above the most stable polymorph in this dataset is 870 meV/atom. The value obtained for the density of states at the Fermi level is 2.82 states/eV/cell.

Lattice parameters (Å, degrees): 5.794 5.794 3.485 90.00 90.00 120.64
Positions (direct):
Br 0.000 0.500 0.500
Si 0.000 0.000 0.000
Si 0.500 0.500 0.000
Sr 0.500 0.000 0.500

=====

DFT (PBE-GGA) results for a relaxed structure of KTcIr2.

The value obtained for the final energy is -6.52 eV/atom. As for the space-group type: Imm2, No. 44. As for the crystal system: orthorhombic. As for the density: 12.1 g/cm³. The value obtained for the energy above the most stable polymorph in this dataset is 422 meV/atom. The value obtained for the density of states at the Fermi level is 3.54 states/eV/cell.

Lattice parameters (Å, degrees): 5.973 5.973 5.973 153.63 130.22 57.20
Positions (direct):
Ir 0.006 0.006 0.000
Ir 0.784 0.284 0.500
K 0.498 0.498 0.000
Tc 0.212 0.712 0.500

=====

Question: Among the records above, which one has the lowest density?
Answer: SrSi2Br

=====

Question: Among the records above, which one has the highest density?
Answer: KTcIr2

=====

Question: What is the formula in the third record?
Answer: KTcIr2